1.
# CdNi2Cl

A geometry-optimized CdNi2Cl structure (PBE-GGA, Alexandria via LeMat-Bulk).

The structure in extended XYZ format:
```
4
Lattice="3.355 -1.940 0.000 3.355 1.940 0.000 -0.028 0.000 5.941" Properties=species:S:1:pos:R:3 pbc="T T T"
Cd 0.000 0.000 0.000
Ni 2.238 0.000 1.430
Ni 4.477 0.000 1.865
Cl 4.462 0.000 4.049
```

Its space group is No. 8. For the raw formation energy, the calculation gives 0.103 eV/atom. As for the crystal system: monoclinic. The energy relative to the lowest polymorph listed for this composition is 71 meV per atom.

2.
# CdNiCl5

A geometry-optimized CdNiCl5 structure (PBE-GGA, Alexandria via LeMat-Bulk).

The structure in extended XYZ format:
```
14
Lattice="4.536 -4.554 0.000 4.536 4.554 0.000 -3.614 0.000 8.439" Properties=species:S:1:pos:R:3 pbc="T T T"
Cd 1.825 4.079 6.329
Cd 3.632 -4.079 2.110
Ni 2.268 2.277 0.000
Ni 0.461 -2.277 4.219
Cl 0.506 2.005 7.252
Cl 2.070 0.071 0.165
Cl 3.632 2.392 2.110
Cl 0.263 -0.071 4.384
Cl 3.143 2.005 5.406
Cl 2.313 -2.005 3.033
Cl 5.194 0.071 4.054
Cl 1.825 -2.392 6.329
Cl 3.387 -0.071 8.274
Cl 4.950 -2.005 1.186
```

Its space group is No. 15. For the raw formation energy, the calculation gives -0.677 eV/atom. As for the crystal system: monoclinic.

3.
# CdNiCl4

A geometry-optimized CdNiCl4 structure (PBE-GGA, Alexandria via LeMat-Bulk).

The structure in extended XYZ format:
```
6
Lattice="-3.459 3.459 3.481 3.459 -3.459 3.481 3.459 3.459 -3.481" Properties=species:S:1:pos:R:3 pbc="T T T"
Cd 0.000 0.000 0.000
Ni 0.000 3.459 1.740
Cl 4.565 1.891 -1.806
Cl -1.106 1.567 1.675
Cl 1.891 2.352 1.806
Cl 1.567 1.106 5.287
```

Its space group is No. 82. For the raw formation energy, the calculation gives -0.718 eV/atom. As for the crystal system: tetragonal. The energy relative to the lowest polymorph listed for this composition is 90 meV per atom.

4.
# CdNiCl3

A geometry-optimized CdNiCl3 structure (PBE-GGA, Alexandria via LeMat-Bulk).

The structure in extended XYZ format:
```
5
Lattice="4.681 0.000 0.000 0.000 4.681 0.000 0.000 0.000 4.681" Properties=species:S:1:pos:R:3 pbc="T T T"
Cd 0.000 0.000 0.000
Ni 2.340 2.340 2.340
Cl 0.000 2.340 2.340
Cl 2.340 0.000 2.340
Cl 2.340 2.340 0.000
```

Its space group is No. 221. For the raw formation energy, the calculation gives -0.404 eV/atom. As for the crystal system: cubic. The energy relative to the lowest polymorph listed for this composition is 0 meV per atom.

5.
# CdNi2Cl

A geometry-optimized CdNi2Cl structure (PBE-GGA, Alexandria via LeMat-Bulk).

The structure in extended XYZ format:
```
4
Lattice="2.995 0.000 0.000 0.000 2.995 0.000 0.000 0.000 6.657" Properties=species:S:1:pos:R:3 pbc="T T T"
Cd 0.000 0.000 0.000
Ni 1.497 1.497 1.770
Ni 1.497 1.497 4.886
Cl 0.000 0.000 3.328
```

Its space group is No. 123. For the raw formation energy, the calculation gives 0.285 eV/atom. As for the crystal system: tetragonal. The energy relative to the lowest polymorph listed for this composition is 253 meV per atom.

6.
# CdNi2Cl

A geometry-optimized CdNi2Cl structure (PBE-GGA, Alexandria via LeMat-Bulk).

The structure in extended XYZ format:
```
4
Lattice="0.000 3.141 3.141 3.141 0.000 3.141 3.141 3.141 0.000" Properties=species:S:1:pos:R:3 pbc="T T T"
Cd 0.000 0.000 0.000
Ni 1.570 1.570 1.570
Ni 4.711 4.711 4.711
Cl 3.141 3.141 3.141
```

Its space group is No. 225. For the raw formation energy, the calculation gives 0.489 eV/atom. As for the crystal system: cubic. The energy relative to the lowest polymorph listed for this composition is 457 meV per atom.

7.
# CdNiCl4

A geometry-optimized CdNiCl4 structure (PBE-GGA, Alexandria via LeMat-Bulk).

The structure in extended XYZ format:
```
6
Lattice="6.448 -1.835 0.000 6.448 1.835 0.000 -1.299 0.000 6.357" Properties=species:S:1:pos:R:3 pbc="T T T"
Cd 0.000 0.000 0.000
Ni 5.798 0.000 3.179
Cl 0.834 0.000 2.529
Cl 4.815 0.000 0.973
Cl 6.781 0.000 5.384
Cl 10.762 0.000 3.828
```

Its space group is No. 12. For the raw formation energy, the calculation gives -0.808 eV/atom. As for the crystal system: monoclinic. The energy relative to the lowest polymorph listed for this composition is 0 meV per atom.

8.
# CdNi2Cl

A geometry-optimized CdNi2Cl structure (PBE-GGA, Alexandria via LeMat-Bulk).

The structure in extended XYZ format:
```
4
Lattice="3.132 0.000 0.000 0.000 3.131 0.000 -0.007 0.000 6.853" Properties=species:S:1:pos:R:3 pbc="T T T"
Cd 0.000 0.000 0.000
Ni 0.003 0.000 2.714
Ni 1.567 1.565 1.579
Cl 0.006 1.565 4.410
```

Its space group is No. 6. For the raw formation energy, the calculation gives 0.036 eV/atom. As for the crystal system: monoclinic. The energy relative to the lowest polymorph listed for this composition is 4 meV per atom.